(1)
The following is a DFT calculation (PBE) of a relaxed structure of MgAlTl2Cu.

Results
calculated density	5.60	g cm⁻³
volume	31.08	Å³ per atom
uncorrected energy	-10.2	eV/f.u.
density of states at the Fermi level	0.465	states/eV/atom
formation energy	0.79	eV per atom

a b c (Å): 5.4743 5.4743 5.1854
angles (deg): 90.00 90.00 90.00
Closest atoms and distances in Å follow each position.
Space group P4/mmm (No. 123)
One atom of each set of equivalent atoms:
Mg1 0.0000 0.0000 0.0000  2 Al 2.59, 4 Tl 2.74
Al1 0.0000 0.0000 0.5000  2 Mg 2.59
Tl1 0.0000 0.5000 0.0000  2 Mg 2.74
Cu1 0.5000 0.5000 0.5000  8 Tl 3.77, 4 Al 3.87



(2)
The following is a DFT calculation (PBE) of a relaxed structure of Cd2Te3.

Results
calculated density	6.59	g cm⁻³
E_form (uncorrected)	0.035	eV per atom
volume	30.63	Å³ per atom
uncorrected energy	-11.1	eV/f.u.
E above lowest polymorph	14.1	kJ/mol of atoms
density of states at the Fermi level	0.909	states/eV/atom

a b c (Å): 5.3274 5.3274 6.2309
angles (deg): 90.00 90.00 120.00
Closest atoms and distances in Å follow each position.
Space group P-3m1 (No. 164)
One atom of each set of equivalent atoms:
Cd1 0.3333 0.6667 0.2443  5 Te 3.08-3.13
Te1 0.0000 0.0000 0.5000  6 Te 3.44, 6 Cd 3.46
Te2 0.3333 0.6667 0.7465  5 Cd 3.08-3.13, 3 Te 3.44



(3)
The following is a DFT calculation (PBE) of a relaxed structure of SrBe3Sb.

Results
calculated density	3.39	g cm⁻³
E_form (uncorrected)	0.856	eV per atom
volume	23.13	Å³ per atom
uncorrected energy	-12.7	eV/f.u.
E above lowest polymorph	0.0	kJ/mol of atoms
density of states at the Fermi level	0.926	states/eV/atom

a b c (Å): 4.8723 4.8723 4.8723
angles (deg): 90.00 90.00 90.00
Closest atoms and distances in Å follow each position.
Space group Pm-3m (No. 221)
One atom of each set of equivalent atoms:
Sr1 0.0000 0.0000 0.0000  12 Be 3.45
Be1 0.0000 0.5000 0.5000  2 Sb 2.44
Sb1 0.5000 0.5000 0.5000  6 Be 2.44



(4)
The following is a DFT calculation (PBE) of a relaxed structure of ZnAgI3.

Results
calculated density	4.71	g cm⁻³
E_form (uncorrected)	-0.404	eV per atom
volume	39.09	Å³ per atom
uncorrected energy	-10.8	eV/f.u.
E above lowest polymorph	0.0	kJ/mol of atoms

a b c (Å): 8.3395 4.3202 10.9706
angles (deg): 90.00 98.48 90.00
Closest atoms and distances in Å follow each position.
Space group P2_1/m (No. 11)
One atom of each set of equivalent atoms:
Zn1 0.2001 0.2500 0.2978  4 I 2.63-2.69
Ag1 0.3180 0.2500 0.8809  5 I 2.91-3.06
I1 0.0826 0.7500 0.8440  1 Zn 2.63, 2 Ag 2.91
I2 0.2399 0.7500 0.4425  2 Zn 2.67
I3 0.4316 0.2500 0.1516  1 Zn 2.69, 1 Ag 2.98



(5)
The following is a DFT calculation (PBE) of a relaxed structure of Pm2GaSi4Pd3.

Results
calculated density	7.31	g cm⁻³
E_form (uncorrected)	-0.811	eV per atom
volume	17.97	Å³ per atom
uncorrected energy	-57.9	eV/f.u.
density of states at the Fermi level	0.368	states/eV/atom

a b c (Å): 4.1906 4.1906 10.2311
angles (deg): 90.00 90.00 90.00
Closest atoms and distances in Å follow each position.
Space group P-4m2 (No. 115)
One atom of each set of equivalent atoms:
Pm1 0.0000 0.5000 0.2446  8 Si 3.18-3.26, 6 Pd 3.22-3.35, 2 Ga 3.35
Ga1 0.0000 0.0000 0.5000  4 Si 2.55
Si1 0.0000 0.0000 0.0000  4 Pd 2.44
Si2 0.0000 0.5000 0.6423  3 Pd 2.41-2.55, 2 Ga 2.55
Si3 0.5000 0.5000 0.0000  4 Pd 2.44
Pd1 0.0000 0.5000 0.8778  5 Si 2.41-2.44
Pd2 0.5000 0.5000 0.5000  4 Si 2.55



(6)
The following is a DFT calculation (PBE) of a relaxed structure of NiSbOs.

Results
calculated density	13.35	g cm⁻³
E_form (uncorrected)	0.457	eV per atom
volume	15.37	Å³ per atom
uncorrected energy	-19.8	eV/f.u.
E above lowest polymorph	13.0	kJ/mol of atoms
density of states at the Fermi level	0.510	states/eV/atom

a b c (Å): 4.2310 4.2310 2.9749
angles (deg): 90.00 90.00 120.00
Closest atoms and distances in Å follow each position.
Space group P3m1 (No. 156)
One atom of each set of equivalent atoms:
Ni1 0.0000 0.0000 0.0000  3 Sb 2.45
Sb1 0.3333 0.6667 0.9481  3 Ni 2.45
Os1 0.6667 0.3333 0.4898  6 Sb 2.80-2.93, 6 Ni 2.84-2.88, 2 Os 2.97



(7)
The following is a DFT calculation (PBE) of a relaxed structure of ScPIr2.

Results
calculated density	11.46	g cm⁻³
volume	16.68	Å³ per atom
uncorrected energy	-31.8	eV/f.u.
density of states at the Fermi level	0.532	states/eV/atom
formation energy	-0.59	eV per atom

a b c (Å): 3.2178 3.7231 5.5703
angles (deg): 90.00 90.00 90.00
Closest atoms and distances in Å follow each position.
Space group Pmmm (No. 47)
One atom of each set of equivalent atoms:
Sc1 0.0000 0.0000 0.0000  8 Ir 2.83
P1 0.5000 0.0000 0.5000  4 Ir 2.32
Ir1 0.5000 0.5000 0.2507  2 P 2.32



(8)
The following is a DFT calculation (PBE) of a relaxed structure of Ba2SbRu.

Results
calculated density	4.96	g cm⁻³
E_form (uncorrected)	-0.307	eV per atom
volume	41.67	Å³ per atom
uncorrected energy	-18.5	eV/f.u.
density of states at the Fermi level	1.191	states/eV/atom

a b c (Å): 8.0292 4.6270 9.3447
angles (deg): 90.00 106.21 90.00
Closest atoms and distances in Å follow each position.
Space group Cm (No. 8)
One atom of each set of equivalent atoms:
Ba1 0.0000 0.0000 0.0000  3 Ru 3.45-3.46, 3 Sb 3.46
Ba2 0.1585 0.0000 0.4880  3 Ru 3.45-3.46, 3 Sb 3.46
Sb1 0.2462 0.5000 0.2441  3 Ru 2.67
Ru1 0.4131 0.0000 0.2438  3 Sb 2.67



(9)
The following is a DFT calculation (PBE) of a relaxed structure of TbAgPdPt.

Results
calculated density	12.81	g cm⁻³
volume	18.42	Å³ per atom
uncorrected energy	-21.7	eV/f.u.
E above lowest polymorph	0.0	kJ/mol of atoms
density of states at the Fermi level	0.213	states/eV/atom
formation energy	-0.75	eV per atom

a b c (Å): 4.0041 4.2070 4.3738
angles (deg): 90.00 90.00 90.00
Closest atoms and distances in Å follow each position.
Space group Pmmm (No. 47)
One atom of each set of equivalent atoms:
Tb1 0.0000 0.0000 0.0000  4 Pt 2.90, 4 Pd 2.96, 4 Ag 3.03
Ag1 0.0000 0.5000 0.5000  4 Pd 2.90, 4 Pt 2.96, 4 Tb 3.03
Pd1 0.5000 0.0000 0.5000  4 Ag 2.90, 4 Tb 2.96, 4 Pt 3.03
Pt1 0.5000 0.5000 0.0000  4 Tb 2.90, 4 Ag 2.96, 4 Pd 3.03



(10)
The following is a DFT calculation (PBE) of a relaxed structure of Tb5Pm4Nd3.

Results
calculated density	7.30	g cm⁻³
volume	34.27	Å³ per atom
uncorrected energy	-53.9	eV/f.u.
E above lowest polymorph	19.4	kJ/mol of atoms
density of states at the Fermi level	1.606	states/eV/atom
formation energy	0.21	eV per atom

a b c (Å): 16.2191 6.0063 9.3962
angles (deg): 90.00 116.03 90.00
Closest atoms and distances in Å follow each position.
Space group C2/m (No. 12)
One atom of each set of equivalent atoms:
Tb1 0.0000 0.0000 0.0000  4 Nd 3.00-3.12
Tb2 0.0725 0.5000 0.6974  2 Nd 3.31-3.52, 2 Tb 3.41-3.69, 2 Pm 3.69
Tb3 0.1723 0.5000 0.3889  4 Nd 3.24-3.52, 3 Pm 3.47-3.57
Pm1 0.0831 0.0000 0.4433  2 Pm 3.30-3.69, 1 Nd 3.43, 3 Tb 3.47-3.57
Pm2 0.2103 0.0000 0.8791  3 Nd 3.31-3.60, 3 Pm 3.64-3.69, 2 Tb 3.69
Nd1 0.0000 0.5000 0.0000  2 Tb 3.00
Nd2 0.2087 0.0000 0.2298  3 Tb 3.12-3.31, 2 Pm 3.31-3.43



(11)
The following is a DFT calculation (PBE) of a relaxed structure of In2TcP.

Results
calculated density	8.11	g cm⁻³
volume	18.35	Å³ per atom
uncorrected energy	-19.3	eV/f.u.
density of states at the Fermi level	1.051	states/eV/atom
formation energy	0.48	eV per atom

a b c (Å): 4.1356 4.1356 8.5820
angles (deg): 90.00 90.00 90.00
Closest atoms and distances in Å follow each position.
Space group I-4m2 (No. 119)
One atom of each set of equivalent atoms:
In1 0.0000 0.0000 0.0000  4 Tc 2.92, 4 In 2.98, 4 P 2.98
In2 0.0000 0.5000 0.2500  4 P 2.92, 4 In 2.98, 4 Tc 2.98
Tc1 0.0000 0.0000 0.5000  8 In 2.92-2.98, 4 P 2.98
P1 0.0000 0.5000 0.7500  8 In 2.92-2.98, 4 Tc 2.98



(12)
The following is a DFT calculation (PBE) of a relaxed structure of HoNpCo2.

Results
calculated density	12.09	g cm⁻³
volume	17.85	Å³ per atom
uncorrected energy	-31.6	eV/f.u.
E above lowest polymorph	0.0	kJ/mol of atoms
density of states at the Fermi level	1.593	states/eV/atom
formation energy	0.04	eV per atom

a b c (Å): 4.7307 4.7307 3.1896
angles (deg): 90.00 90.00 90.00
Closest atoms and distances in Å follow each position.
Space group P4/mmm (No. 123)
One atom of each set of equivalent atoms:
Ho1 0.0000 0.0000 0.0000  8 Co 2.85, 2 Ho 3.19
Np1 0.5000 0.5000 0.0000  8 Co 2.85, 2 Np 3.19
Co1 0.0000 0.5000 0.5000  4 Ho 2.85, 4 Np 2.85, 2 Co 3.19



(13)
The following is a DFT calculation (PBE) of a relaxed structure of Nd4Ga6Rh7.

Results
calculated density	9.00	g cm⁻³
volume	18.62	Å³ per atom
uncorrected energy	-101.6	eV/f.u.
density of states at the Fermi level	0.621	states/eV/atom
formation energy	-0.76	eV per atom

a b c (Å): 8.5867 8.5867 8.5867
angles (deg): 90.00 90.00 90.00
Closest atoms and distances in Å follow each position.
Space group Im-3m (No. 229)
One atom of each set of equivalent atoms:
Nd1 0.2500 0.2500 0.2500  6 Rh 3.04, 6 Ga 3.10
Ga1 0.0000 0.0000 0.3248  5 Rh 2.62-2.79
Rh1 0.0000 0.0000 0.0000  6 Ga 2.79
Rh2 0.0000 0.2500 0.5000  4 Ga 2.62